Na3FeTe2O9 after structural relaxation. Source: the Alexandria database, functional PBE+U.

Output
For the density of states at the Fermi level, the calculation gives 2.283 states/eV/cell. For the calculated total energy, the calculation gives -5.294 eV per atom.

a b c (Å): 5.5406 5.5406 6.8042
angles (deg): 90.00 90.00 120.00
Closest atoms and distances in Å follow each position.
Space group P-3m1 (No. 164)
Asymmetric unit:
Na: 0.0000 0.0000 0.0000 x1  12 O 2.75-2.77
Na: 0.3333 0.6667 0.6549 x2  12 O 2.74-2.84
Fe: 0.0000 0.0000 0.5000 x1  6 O 2.00
Te: 0.3333 0.6667 0.1760 x2  6 O 1.89-2.00
O: 0.0000 0.5000 0.0000 x3  2 Te 2.00
O: 0.1683 0.3367 0.3266 x6  1 Te 1.89, 1 Fe 2.00